Below is a geometry-optimized HoBPd5 structure, with properties calculated at the PBE-GGA level.

Output
D(E_F): 4.7 states/eV per cell
crystal system: tetragonal
formation energy from the elements: -0.52 eV/atom
energy: -5.8383 eV/atom

Cell lengths 3.9161, 3.9161, 7.0360 Å; angles 90.00, 90.00, 90.00 degrees
Closest atoms and distances in Å follow each position.
Fractional positions:
Ho (0.0000, 0.0000, 0.0000)  12 Pd 2.77-2.94
B (0.5000, 0.5000, 0.5000)  8 Pd 2.37
Pd (0.0000, 0.5000, 0.3114)  2 B 2.37
Pd (0.0000, 0.5000, 0.6886)  2 B 2.37
Pd (0.5000, 0.0000, 0.3114)  2 B 2.37
Pd (0.5000, 0.0000, 0.6886)  2 B 2.37
Pd (0.5000, 0.5000, 0.0000)  4 Ho 2.77, 8 Pd 2.94


Below is a geometry-optimized HoB2Pd7 structure, with properties calculated at the PBE-GGA level.

Output
D(E_F): 4.4 states/eV per cell
crystal system: orthorhombic
formation energy from the elements: -0.29 eV/atom
energy: -5.7170 eV/atom

Cell lengths 6.4445, 6.4445, 4.1857 Å; angles 90.00, 90.00, 112.05 degrees
Closest atoms and distances in Å follow each position.
Fractional positions:
Ho (0.0000, 0.0000, 0.0000)  8 Pd 2.88
B (0.2904, 0.7096, 0.5000)  7 Pd 2.12-2.37
B (0.7096, 0.2904, 0.5000)  7 Pd 2.12-2.37
Pd (0.0555, 0.3244, 0.5000)  2 B 2.16-2.37
Pd (0.3228, 0.6772, 0.0000)  2 B 2.12
Pd (0.3244, 0.0555, 0.5000)  2 B 2.16-2.37
Pd (0.5000, 0.5000, 0.5000)  2 B 2.24
Pd (0.6756, 0.9445, 0.5000)  2 B 2.16-2.37
Pd (0.6772, 0.3228, 0.0000)  2 B 2.12
Pd (0.9445, 0.6756, 0.5000)  2 B 2.16-2.37


Below is a geometry-optimized HoBPd3 structure, with properties calculated at the PBE-GGA level.

Output
D(E_F): 3.5 states/eV per cell
crystal system: cubic
formation energy from the elements: -0.63 eV/atom
energy: -5.9949 eV/atom

Cell lengths 4.3099, 4.3099, 4.3099 Å; angles 90.00, 90.00, 90.00 degrees
Closest atoms and distances in Å follow each position.
Fractional positions:
Ho (0.0000, 0.0000, 0.0000)  12 Pd 3.05
B (0.5000, 0.5000, 0.5000)  6 Pd 2.15
Pd (0.0000, 0.5000, 0.5000)  2 B 2.15
Pd (0.5000, 0.0000, 0.5000)  2 B 2.15
Pd (0.5000, 0.5000, 0.0000)  2 B 2.15


- Number 1 is which compound?
  HoBPd5


Please write out number 1 again, unchanged.
Below is a geometry-optimized HoBPd5 structure, with properties calculated at the PBE-GGA level.

Output
D(E_F): 4.7 states/eV per cell
crystal system: tetragonal
formation energy from the elements: -0.52 eV/atom
energy: -5.8383 eV/atom

Cell lengths 3.9161, 3.9161, 7.0360 Å; angles 90.00, 90.00, 90.00 degrees
Closest atoms and distances in Å follow each position.
Fractional positions:
Ho (0.0000, 0.0000, 0.0000)  12 Pd 2.77-2.94
B (0.5000, 0.5000, 0.5000)  8 Pd 2.37
Pd (0.0000, 0.5000, 0.3114)  2 B 2.37
Pd (0.0000, 0.5000, 0.6886)  2 B 2.37
Pd (0.5000, 0.0000, 0.3114)  2 B 2.37
Pd (0.5000, 0.0000, 0.6886)  2 B 2.37
Pd (0.5000, 0.5000, 0.0000)  4 Ho 2.77, 8 Pd 2.94


- What is the formation energy from the elements in the third record?
  -0.63 eV/atom


Please write out number 1 again, unchanged.
Below is a geometry-optimized HoBPd5 structure, with properties calculated at the PBE-GGA level.

Output
D(E_F): 4.7 states/eV per cell
crystal system: tetragonal
formation energy from the elements: -0.52 eV/atom
energy: -5.8383 eV/atom

Cell lengths 3.9161, 3.9161, 7.0360 Å; angles 90.00, 90.00, 90.00 degrees
Closest atoms and distances in Å follow each position.
Fractional positions:
Ho (0.0000, 0.0000, 0.0000)  12 Pd 2.77-2.94
B (0.5000, 0.5000, 0.5000)  8 Pd 2.37
Pd (0.0000, 0.5000, 0.3114)  2 B 2.37
Pd (0.0000, 0.5000, 0.6886)  2 B 2.37
Pd (0.5000, 0.0000, 0.3114)  2 B 2.37
Pd (0.5000, 0.0000, 0.6886)  2 B 2.37
Pd (0.5000, 0.5000, 0.0000)  4 Ho 2.77, 8 Pd 2.94